Here is a geometry-optimized NaVNF2 structure from the Alexandria database. Energies are from PBE+U.

Cell: 4.099 4.099 3.751 Å, 90.00 90.00 90.00°
Element x y z (fractional)
1 V 0.000 0.000 0.000
2 F 0.500 0.000 0.000
3 F 0.000 0.500 0.000
4 N 0.000 0.000 0.500
5 Na 0.500 0.500 0.500

Results
The calculation puts the spin magnetization at 0.200 μB/atom. The value obtained for the offset from the most stable computed form is 0 meV/atom.